Arrangement a

# NbAs2IrSe

A relaxed structure of NbAs2IrSe (PBE, the Alexandria database).

Output
N(E_F) in states/eV/f.u.: 5.89
V in Å³ per atom: 23.83
SG: P4/mmm

Unit cell a=4.9522 b=4.9522 c=4.8594 alpha=90.00 beta=90.00 gamma=90.00
Site moments in Bohr magnetons follow the coordinates.
Fractional positions:
1 Nb 0.0000 0.0000 0.0000  0.18
2 As 0.0000 0.5000 0.0000  -0.04
3 Ir 0.5000 0.5000 0.5000  0.91
4 Se 0.0000 0.0000 0.5000  -0.01
5 As 0.5000 0.0000 0.0000  -0.04

Arrangement b

# NbAs2IrSe

A relaxed structure of NbAs2IrSe (PBE, the Alexandria database).

Output
N(E_F) in states/eV/f.u.: 6.47
V in Å³ per atom: 22.08
SG: P4/mmm

Unit cell a=4.7129 b=4.7129 c=4.9695 alpha=90.00 beta=90.00 gamma=90.00
Fractional positions:
1 Se 0.0000 0.0000 0.5000
2 As 0.0000 0.5000 0.0000
3 As 0.5000 0.0000 0.0000
4 Nb 0.5000 0.5000 0.5000
5 Ir 0.0000 0.0000 0.0000

So which one is most stable? That would be arrangement b, about 154 meV/atom below the next structure.

Arrangement a

# NiAsIr

A relaxed structure of NiAsIr (PBE, the Alexandria database).

Output
N(E_F) in states/eV/f.u.: 2.23
V in Å³ per atom: 14.23
SG: P3m1

Unit cell a=4.0615 b=4.0615 c=2.9891 alpha=90.00 beta=90.00 gamma=120.00
Fractional positions:
1 As 0.0000 0.0000 0.0429
2 Ni 0.3333 0.6667 0.7251
3 Ir 0.6667 0.3333 0.2320

Arrangement b

# NiAsIr

A relaxed structure of NiAsIr (PBE, the Alexandria database).

Output
N(E_F) in states/eV/f.u.: 1.68
V in Å³ per atom: 14.48
SG: P2_1/m

Unit cell a=4.3753 b=7.0506 c=7.0506 alpha=65.10 beta=66.46 gamma=66.46
Fractional positions:
1 As 0.9154 0.4873 0.2373
2 Ni 0.2831 0.1709 0.4209
3 Ni 0.2831 0.6709 0.9209
4 Ir 0.2846 0.5981 0.3481
5 Ir 0.2846 0.0981 0.8481
6 As 0.9154 0.9873 0.7373
7 Ni 0.7169 0.8291 0.5791
8 Ir 0.7154 0.4019 0.6519
9 Ir 0.7154 0.9019 0.1519
10 As 0.0846 0.0127 0.2627
11 As 0.0846 0.5127 0.7627
12 Ni 0.7169 0.3291 0.0791

Arrangement c

# NiAsIr

A relaxed structure of NiAsIr (PBE, the Alexandria database).

Output
N(E_F) in states/eV/f.u.: 1.87
V in Å³ per atom: 16.01
SG: F-43m

Unit cell a=4.0801 b=4.0801 c=4.0801 alpha=60.00 beta=60.00 gamma=60.00
Fractional positions:
1 As 0.5000 0.5000 0.5000
2 Ni 0.0000 0.0000 0.0000
3 Ir 0.7500 0.7500 0.7500

So which one is most stable? That would be arrangement b, about 53 meV/atom below the next structure.

Arrangement a

# NiAsIr

A relaxed structure of NiAsIr (PBE, the Alexandria database).

Output
N(E_F) in states/eV/f.u.: 3.14
V in Å³ per atom: 14.39
SG: Fmm2

Unit cell a=6.6932 b=6.4002 c=2.8128 alpha=83.50 beta=71.82 gamma=24.68
Fractional positions:
1 As 0.0050 0.0050 0.9950
2 Ir 0.3332 0.3332 0.6668
3 Ni 0.6617 0.6617 0.3383

Arrangement b

# NiAsIr

A relaxed structure of NiAsIr (PBE, the Alexandria database).

Output
N(E_F) in states/eV/f.u.: 4.72
V in Å³ per atom: 13.97
SG: Imm2

Unit cell a=4.4481 b=4.4481 c=4.4481 alpha=141.10 beta=129.72 gamma=65.34
Site moments in Bohr magnetons follow the coordinates.
Fractional positions:
1 As 0.9938 0.9938 0.0000  0.00
2 Ni 0.6793 0.6793 0.0000  0.14
3 Ir 0.3270 0.3270 0.0000  0.07

So which one is most stable? That would be arrangement b, about 193 meV/atom below the next structure.

Arrangement a

# NiAsIr

A relaxed structure of NiAsIr (PBE, the Alexandria database).

Output
N(E_F) in states/eV/f.u.: 1.71
V in Å³ per atom: 15.04
SG: F-43m

Unit cell a=3.9962 b=3.9962 c=3.9962 alpha=60.00 beta=60.00 gamma=60.00
Fractional positions:
1 Ir 0.0000 0.0000 0.0000
2 As 0.7500 0.7500 0.7500
3 Ni 0.5000 0.5000 0.5000

Arrangement b

# NiAsIr

A relaxed structure of NiAsIr (PBE, the Alexandria database).

Output
N(E_F) in states/eV/f.u.: 2.58
V in Å³ per atom: 13.66
SG: I4mm

Unit cell a=4.9834 b=4.9834 c=4.9834 alpha=144.76 beta=144.76 gamma=50.69
Fractional positions:
1 Ir 0.3410 0.3410 0.0000
2 As 0.0101 0.0101 0.0000
3 Ni 0.6489 0.6489 0.0000

So which one is most stable? That would be arrangement a, about 185 meV/atom below the next structure.

Arrangement a

# NiAs2IrSe

A relaxed structure of NiAs2IrSe (PBE, the Alexandria database).

Output
N(E_F) in states/eV/f.u.: 2.84
V in Å³ per atom: 18.45
SG: P4/mmm

Unit cell a=4.4419 b=4.4419 c=4.6743 alpha=90.00 beta=90.00 gamma=90.00
Fractional positions:
1 As 0.5000 0.0000 0.0000
2 As 0.0000 0.5000 0.0000
3 Ir 0.5000 0.5000 0.5000
4 Se 0.0000 0.0000 0.5000
5 Ni 0.0000 0.0000 0.0000

Arrangement b

# NiAs2IrSe

A relaxed structure of NiAs2IrSe (PBE, the Alexandria database).

Output
N(E_F) in states/eV/f.u.: 5.36
V in Å³ per atom: 23.17
SG: P4/mmm

Unit cell a=4.6574 b=4.6574 c=5.3406 alpha=90.00 beta=90.00 gamma=90.00
Site moments in Bohr magnetons follow the coordinates.
Fractional positions:
1 Ni 0.5000 0.5000 0.5000  0.87
2 As 0.5000 0.0000 0.0000  0.02
3 Se 0.0000 0.0000 0.5000  0.11
4 As 0.0000 0.5000 0.0000  0.02
5 Ir 0.0000 0.0000 0.0000  0.01

So which one is most stable? That would be arrangement a, about 138 meV/atom below the next structure.

Arrangement a

# AsIr3O

A relaxed structure of AsIr3O (PBE, the Alexandria database).

Output
N(E_F) in states/eV/f.u.: 6.74
V in Å³ per atom: 19.30
SG: Pm-3m

Unit cell a=4.5868 b=4.5868 c=4.5868 alpha=90.00 beta=90.00 gamma=90.00
Site moments in Bohr magnetons follow the coordinates.
Fractional positions:
1 O 0.5000 0.5000 0.5000  1.21
2 As 0.0000 0.0000 0.0000  -0.03
3 Ir 0.0000 0.5000 0.0000  0.84
4 Ir 0.0000 0.0000 0.5000  0.69
5 Ir 0.5000 0.0000 0.0000  0.65

Arrangement b

# AsIr3O

A relaxed structure of AsIr3O (PBE, the Alexandria database).

Output
N(E_F) in states/eV/f.u.: 7.26
V in Å³ per atom: 14.75
SG: Pm-3m

Unit cell a=4.1931 b=4.1931 c=4.1931 alpha=90.00 beta=90.00 gamma=90.00
Fractional positions:
1 Ir 0.5000 0.0000 0.0000
2 Ir 0.0000 0.0000 0.5000
3 As 0.5000 0.5000 0.5000
4 O 0.0000 0.0000 0.0000
5 Ir 0.0000 0.5000 0.0000

So which one is most stable? That would be arrangement b, about 862 meV/atom below the next structure.